Entry 1:
First-principles (GGA-PBEsol) data for a relaxed HfInOF2 crystal, as listed in the Alexandria database.

POSCAR file:
```
HfInOF2
1.0
4.0348 0.0000 0.0000
0.0000 4.3302 0.0000
0.0000 0.0000 4.3302
F O Hf In
2 1 1 1
Cartesian
0.0000 2.1651 0.0000
0.0000 0.0000 2.1651
2.0174 0.0000 0.0000
0.0000 0.0000 0.0000
2.0174 2.1651 2.1651
```

Properties
N(E_F) = 0.468 states/eV per atom

---

Entry 2:
First-principles (GGA-PBEsol) data for a relaxed Hf2IrF crystal, as listed in the Alexandria database.

POSCAR file:
```
Hf2IrF
1.0
-2.7685 2.9428 2.0080
-3.4989 1.7177 -2.2724
-4.2073 -1.2293 1.0697
Ir Hf F
1 2 1
Cartesian
-5.2373 1.7156 0.4027
-2.6187 0.8578 0.2013
-7.8560 2.5734 0.6040
0.0000 0.0000 0.0000
```

Properties
N(E_F) = 0.954 states/eV per atom

---

Entry 3:
First-principles (GGA-PBEsol) data for a relaxed Hf3IrF crystal, as listed in the Alexandria database.

POSCAR file:
```
Hf3IrF
1.0
-0.1286 -1.3670 -4.1194
-2.0310 -3.6232 1.2657
-3.8358 1.9643 -0.5321
F Hf Ir
1 3 1
Cartesian
0.0000 0.0000 0.0000
-1.0155 -1.8116 0.6329
-1.9179 0.9822 -0.2660
-0.0643 -0.6835 -2.0597
-2.9977 -1.5129 -1.6929
```

Properties
N(E_F) = 0.945 states/eV per atom

---

Entry 4:
First-principles (GGA-PBEsol) data for a relaxed KHfNF2 crystal, as listed in the Alexandria database.

POSCAR file:
```
KHfNF2
1.0
-3.7080 1.0562 1.4375
0.2723 -3.0461 2.9405
1.8189 2.7449 2.6751
K N F Hf
1 1 2 1
Cartesian
-0.8084 0.3775 3.5265
-1.8540 0.5281 0.7188
0.1362 -1.5230 1.4702
0.9095 1.3725 1.3375
0.0000 0.0000 0.0000
```

---

Entry 5:
First-principles (GGA-PBEsol) data for a relaxed KHfOF2 crystal, as listed in the Alexandria database.

POSCAR file:
```
KHfOF2
1.0
-1.8230 -3.7739 -0.5205
2.7176 -1.6926 2.7544
-2.9543 0.9449 3.4954
O Hf F K
1 1 2 1
Cartesian
-1.4771 0.4724 1.7477
-1.0298 -2.2608 2.8646
1.3588 -0.8463 1.3772
-0.9115 -1.8870 -0.2603
0.0000 0.0000 0.0000
```

Properties
N(E_F) = 0.604 states/eV per atom
offset from the most stable computed form = 10.92 eV/f.u.

---

Entry 6:
First-principles (GGA-PBEsol) data for a relaxed KHfO2F crystal, as listed in the Alexandria database.

POSCAR file:
```
KHfO2F
1.0
4.1315 0.0000 0.0000
0.0000 4.3069 0.0000
0.0000 0.0000 4.3069
Hf F K O
1 1 1 2
Cartesian
2.0657 2.1534 2.1534
2.0657 0.0000 0.0000
0.0000 0.0000 0.0000
0.0000 0.0000 2.1534
0.0000 2.1534 0.0000
```

Properties
N(E_F) = 0.450 states/eV per atom

---

Entry 7:
First-principles (GGA-PBEsol) data for a relaxed KHfOF2 crystal, as listed in the Alexandria database.

POSCAR file:
```
KHfOF2
1.0
4.0575 0.0000 0.0000
0.0000 4.2898 0.0000
0.0000 0.0000 4.2898
K F Hf O
1 2 1 1
Cartesian
2.0288 2.1449 2.1449
0.0000 0.0000 2.1449
0.0000 2.1449 0.0000
0.0000 0.0000 0.0000
2.0288 0.0000 0.0000
```

Properties
N(E_F) = 0.442 states/eV per atom
offset from the most stable computed form = 0.00 eV/f.u.

---

Entry 8:
First-principles (GGA-PBEsol) data for a relaxed La2HfRhF crystal, as listed in the Alexandria database.

POSCAR file:
```
La2HfRhF
1.0
4.8035 0.0000 0.0000
0.0000 5.6850 0.0000
0.0000 0.0000 5.6850
La Rh F Hf
2 1 1 1
Cartesian
0.0000 2.8425 0.0000
0.0000 0.0000 2.8425
0.0000 0.0000 0.0000
2.4018 2.8425 2.8425
2.4018 0.0000 0.0000
```

Properties
N(E_F) = 1.177 states/eV per atom

---

Entry 9:
First-principles (GGA-PBEsol) data for a relaxed LaHfSc2F crystal, as listed in the Alexandria database.

POSCAR file:
```
LaHfSc2F
1.0
3.9633 0.0000 0.0000
0.0000 5.8397 0.0000
0.0000 0.0000 5.8397
Hf Sc F La
1 2 1 1
Cartesian
0.0000 0.0000 0.0000
0.0000 0.0000 2.9198
0.0000 2.9198 0.0000
1.9817 0.0000 0.0000
1.9817 2.9198 2.9198
```

Properties
N(E_F) = 1.941 states/eV per atom

---

Entry 10:
First-principles (GGA-PBEsol) data for a relaxed LiHfF3 crystal, as listed in the Alexandria database.

POSCAR file:
```
LiHfF3
1.0
4.2328 0.0000 0.0000
0.0000 4.2328 0.0000
0.0000 0.0000 4.2328
Hf F Li
1 3 1
Cartesian
0.0000 0.0000 0.0000
0.0000 0.0000 2.1164
0.0000 2.1164 0.0000
2.1164 0.0000 0.0000
2.1164 2.1164 2.1164
```

Properties
N(E_F) = 0.540 states/eV per atom

---

Entry 11:
First-principles (GGA-PBEsol) data for a relaxed LiYHf2F crystal, as listed in the Alexandria database.

POSCAR file:
```
LiYHf2F
1.0
4.4231 0.0000 0.0000
0.0000 5.2441 0.0000
0.0000 0.0000 5.2441
Hf Y Li F
2 1 1 1
Cartesian
0.0000 0.0000 2.6221
0.0000 2.6221 0.0000
0.0000 0.0000 0.0000
2.2116 0.0000 0.0000
2.2116 2.6221 2.6221
```

Properties
N(E_F) = 0.820 states/eV per atom

---

Entry 12:
First-principles (GGA-PBEsol) data for a relaxed HfMgF2 crystal, as listed in the Alexandria database.

POSCAR file:
```
HfMgF2
1.0
2.9405 0.0000 0.0000
1.4702 2.5465 0.0000
1.4702 0.8488 7.9500
Hf F Mg
1 2 1
Cartesian
2.9405 1.6977 3.9750
4.4107 2.5465 2.4142
1.4702 0.8488 5.5359
0.0000 0.0000 0.0000
```

Properties
N(E_F) = 0.405 states/eV per atom
offset from the most stable computed form = 0.67 eV/f.u.

---

The calculation returns the following energy relative to the elements, uncorrected values, one per record and in order: -1154, -411, -300, -1120, -297, -63, -1350, -150, -68, -1122, 669, -736 kJ/mol of formula units.
The calculation returns the following M_tot values, one per record and in order: 0.11, 0.00, 0.00, 0.00, 0.16, 0.05, 0.00, 0.00, 0.24, 0.23, 0.00, 0.00 μB per atom.